Entry 1:
A relaxed Tl2SbSe2Br2 crystal. Source: the Alexandria database, functional GGA-PBE.

a b c (Å): 5.434 5.434 16.174
angles (deg): 90.00 90.00 90.00
Space group I4/mmm (No. 139)
Inequivalent atoms, fractional coordinates:
Tl (0.000, 0.000, 0.125) x4
Sb (0.000, 0.000, 0.500) x2
Se (0.000, 0.500, 0.000) x4
Br (0.000, 0.000, 0.328) x4

Results
The calculation puts the final energy at -3.174 eV per atom.



Entry 2:
A relaxed Pm3TmHg crystal. Source: the Alexandria database, functional GGA-PBE.

a b c (Å): 11.397 7.540 8.042
angles (deg): 90.00 111.45 90.00
Space group C2/m (No. 12)
Inequivalent atoms, fractional coordinates:
Pm (0.052, 0.000, 0.234) x4
Pm (0.162, 0.253, 0.644) x8
Tm (0.060, 0.500, 0.241) x4
Hg (0.236, 0.500, 0.001) x4

Results
The energy above the most stable polymorph in this dataset comes out at 0.0 kJ/mol of atoms. The calculation puts the formation energy at -0.10 eV/atom.



Entry 3:
A relaxed KHfIn crystal. Source: the Alexandria database, functional GGA-PBE.

a b c (Å): 9.098 4.818 8.604
angles (deg): 90.00 90.00 90.00
Space group Pnma (No. 62)
Inequivalent atoms, fractional coordinates:
K (0.004, 0.250, 0.136) x4
Hf (0.099, 0.750, 0.452) x4
In (0.199, 0.250, 0.658) x4

Results
The energy above the most stable polymorph in this dataset comes out at 37.3 kJ/mol of atoms. The calculation puts the formation energy at 0.40 eV/atom.



Entry 4:
A relaxed MnZnSi crystal. Source: the Alexandria database, functional GGA-PBE.

a b c (Å): 2.984 2.984 8.553
angles (deg): 90.00 90.00 90.00
Space group I4mm (No. 107)
Inequivalent atoms, fractional coordinates:
Mn (0.000, 0.000, 0.000) x2
Zn (0.000, 0.000, 0.317) x2
Si (0.000, 0.000, 0.626) x2

Results
The calculation puts the final energy at -5.288 eV per atom.



Entry 5:
A relaxed Sm12Er6Th crystal. Source: the Alexandria database, functional GGA-PBE.

a b c (Å): 13.2051 13.2051 12.7653
angles (deg): 90.00 90.00 120.00
Space group R-3m (No. 166, hexagonal axes)
Inequivalent atoms, fractional coordinates:
Sm (0.0000, 0.2630, 0.0000) x18
Sm (0.0552, 0.5276, 0.1142) x18
Er (0.0881, 0.1762, 0.7719) x18
Th (0.0000, 0.0000, 0.0000) x3

Results
The calculation puts the formation energy at 0.13 eV/atom.



Entry 6:
A relaxed MnInHRu2 crystal. Source: the Alexandria database, functional GGA-PBE.

a b c (Å): 4.097 4.097 3.762
angles (deg): 90.00 90.00 90.00
Space group P4/mmm (No. 123)
Inequivalent atoms, fractional coordinates:
Mn (0.000, 0.000, 0.000) x1
In (0.500, 0.500, 0.000) x1
H (0.000, 0.000, 0.500) x1
Ru (0.000, 0.500, 0.500) x2

Results
The calculation puts the final energy at -6.697 eV per atom.



no.,N(E_F) (states/eV/f.u.)
1,2.464
2,4.978
3,1.297
4,1.070
5,28.322
6,3.497